Here is TlHgAsSe2 after structural relaxation from Alexandria. Energies are from PBEsol.

abc: 5.2891 5.2891 5.3786
angles: 90.00 90.00 90.00
Last column: nearest neighbours and their distance in Å.
Positions (direct):
1 Se 0.5000 0.0000 0.0000  2 Tl 2.64
2 Se 0.0000 0.5000 0.0000  2 Tl 2.64
3 Hg 0.5000 0.5000 0.5000  4 As 3.74, 8 Se 3.77
4 Tl 0.0000 0.0000 0.0000  4 Se 2.64, 2 As 2.69
5 As 0.0000 0.0000 0.5000  2 Tl 2.69

Computed properties:
* formation energy (no corrections): 0.838 eV per atom

=====

Here is Ta4Mo3 after structural relaxation from Alexandria. Energies are from PBEsol.

abc: 2.8170 6.9101 6.9268
angles: 117.85 96.82 98.09
Last column: nearest neighbours and their distance in Å.
Positions (direct):
1 Ta 0.6349 0.5764 0.8529  3 Mo 2.70-2.77, 5 Ta 2.82-2.83
2 Ta 0.7914 0.1394 0.7131  3 Mo 2.74-2.75, 5 Ta 2.79-2.83
3 Ta 0.2086 0.8606 0.2869  3 Mo 2.74-2.75, 5 Ta 2.79-2.83
4 Ta 0.3651 0.4236 0.1471  3 Mo 2.70-2.77, 5 Ta 2.82-2.83
5 Mo 0.0670 0.2876 0.4290  4 Ta 2.70-2.77, 4 Mo 2.73-2.82
6 Mo 0.9330 0.7124 0.5710  4 Ta 2.70-2.77, 4 Mo 2.73-2.82
7 Mo 0.5000 0.0000 0.0000  4 Ta 2.71-2.74, 4 Mo 2.79-2.82

Computed properties:
* E above lowest polymorph: 0.046 eV/atom

=====

no.,theoretical density (Mg/m³)
1,7.039
2,14.559